(1)
VASP calculation (PBE) on crystalline Ac5PdPt2N at its relaxed geometry.

* total magnetic moment: 0.00 μB per atom
* ΔE_f (raw): -908 meV per atom
* SG: Cmc2_1, No. 36

Cell and atoms, written as POSCAR:
```
Ac5PdPt2N
1.0
-1.016 -4.125 -0.845
8.828 0.921 -4.012
5.503 -3.666 11.269
N Pt Ac Pd
2 4 10 2
direct
0.460 0.920 0.419
0.540 0.080 0.919
0.116 0.232 0.686
0.131 0.262 0.338
0.869 0.738 0.838
0.884 0.768 0.186
0.709 0.418 0.197
0.667 0.335 0.872
0.654 0.308 0.516
0.019 0.038 0.000
0.291 0.582 0.697
0.333 0.665 0.372
0.488 0.976 0.756
0.512 0.024 0.256
0.346 0.692 0.016
0.981 0.962 0.500
0.815 0.630 0.540
0.185 0.370 0.040
```


(2)
VASP calculation (PBE) on crystalline Ac6Pd2PtN at its relaxed geometry.

* total magnetic moment: 0.00 μB per atom
* ΔE_f (raw): -705 meV per atom
* SG: P1, No. 1

Cell and atoms, written as POSCAR:
```
Ac6Pd2PtN
1.0
-0.231 -3.981 -6.397
-1.968 -7.277 -0.072
-7.231 -1.774 -3.060
Pd Ac N Pt
2 6 1 1
direct
0.003 0.007 0.983
0.526 0.512 0.455
0.564 0.234 0.244
0.231 0.952 0.249
0.967 0.564 0.244
0.429 0.736 0.743
0.694 0.107 0.775
0.102 0.424 0.773
0.317 0.293 0.034
0.829 0.832 0.515
```


(3)
VASP calculation (PBE) on crystalline AcPu2PdN4 at its relaxed geometry.

* total magnetic moment: 0.87 μB per atom
* ΔE_f (raw): -901 meV per atom
* SG: Cmcm, No. 63

Cell and atoms, written as POSCAR:
```
AcPu2PdN4
1.0
-0.408 -3.563 -0.172
2.353 1.795 -5.296
10.962 -1.467 4.373
N Ac Pu Pd
8 2 4 2
direct
0.261 0.522 0.407
0.261 0.522 0.093
0.443 0.887 0.750
0.000 0.000 0.000
0.739 0.478 0.593
0.557 0.113 0.250
0.739 0.478 0.907
0.000 0.000 0.500
0.901 0.802 0.250
0.099 0.198 0.750
0.369 0.738 0.557
0.369 0.738 0.943
0.631 0.262 0.057
0.631 0.262 0.443
0.173 0.345 0.250
0.827 0.655 0.750
```


(4)
VASP calculation (PBE) on crystalline Ac6PdRh2N at its relaxed geometry.

* total magnetic moment: 0.00 μB per atom
* ΔE_f (raw): -633 meV per atom
* SG: P1, No. 1

Cell and atoms, written as POSCAR:
```
Ac6PdRh2N
1.0
7.330 -0.003 0.000
3.662 6.347 0.003
3.663 2.118 6.841
Ac N Rh Pd
6 1 2 1
direct
0.566 0.247 0.239
0.947 0.566 0.239
0.111 0.408 0.761
0.408 0.719 0.762
0.720 0.111 0.761
0.247 0.947 0.239
0.323 0.325 0.029
0.510 0.511 0.469
0.999 0.999 0.002
0.829 0.829 0.513
```


(5)
VASP calculation (PBE) on crystalline Ac6Pd2RhN at its relaxed geometry.

* total magnetic moment: 0.00 μB per atom
* ΔE_f (raw): -619 meV per atom
* SG: R3, No. 146

Cell and atoms, written as POSCAR:
```
Ac6Pd2RhN
1.0
7.452 -0.001 0.002
3.725 6.447 0.001
3.726 2.149 6.758
Ac N Pd Rh
6 1 2 1
direct
0.097 0.437 0.765
0.218 0.963 0.250
0.701 0.097 0.765
0.963 0.569 0.250
0.569 0.219 0.250
0.437 0.702 0.765
0.322 0.321 0.035
0.010 0.010 0.970
0.519 0.519 0.444
0.826 0.826 0.523
```


(6)
VASP calculation (PBE) on crystalline AcZnPdN at its relaxed geometry.

* total magnetic moment: 0.00 μB per atom
* ΔE_f (raw): -735 meV per atom
* SG: P4/nmm, No. 129

Cell and atoms, written as POSCAR:
```
AcZnPdN
1.0
4.033 0.000 0.000
0.000 4.033 0.000
0.000 0.000 9.260
Pd Ac Zn N
2 2 2 2
direct
0.500 0.500 0.500
0.000 0.000 0.500
0.500 0.000 0.148
0.000 0.500 0.852
0.000 0.500 0.333
0.500 0.000 0.667
0.500 0.000 0.882
0.000 0.500 0.118
```


(7)
VASP calculation (PBE) on crystalline AcPmN at its relaxed geometry.

* polymorph energy (0 for the lowest one): 620 meV per atom
* total magnetic moment: 0.00 μB per atom
* ΔE_f (raw): -127 meV per atom
* SG: F-43m, No. 216

Cell and atoms, written as POSCAR:
```
AcPmN
1.0
4.583 0.000 0.000
2.291 3.969 0.000
2.291 1.323 3.742
Pm Ac N
1 1 1
direct
0.000 0.000 0.000
0.500 0.500 0.500
0.250 0.250 0.250
```


(8)
VASP calculation (PBE) on crystalline Ac4PmN4 at its relaxed geometry.

* total magnetic moment: 0.00 μB per atom
* ΔE_f (raw): -1019 meV per atom
* SG: C2/m, No. 12

Cell and atoms, written as POSCAR:
```
Ac4PmN4
1.0
-2.186 -3.016 0.763
0.976 -1.470 6.460
-6.846 3.568 3.965
Ac N Pm
4 4 1
direct
0.293 0.601 0.814
0.707 0.399 0.186
0.898 0.830 0.374
0.102 0.170 0.626
0.687 0.915 0.711
0.099 0.715 0.088
0.901 0.285 0.912
0.313 0.085 0.289
0.500 0.000 0.000
```


(9)
VASP calculation (PBE) on crystalline Ac2PmN at its relaxed geometry.

* total magnetic moment: 0.00 μB per atom
* ΔE_f (raw): -353 meV per atom
* SG: R-3m, No. 166

Cell and atoms, written as POSCAR:
```
Ac2PmN
1.0
3.768 0.000 0.000
1.884 3.263 0.000
1.884 1.088 10.373
Ac Pm N
2 1 1
direct
0.118 0.118 0.645
0.882 0.882 0.355
0.000 0.000 0.000
0.500 0.500 0.500
```


(10)
VASP calculation (PBE) on crystalline Ac3Pm2N4 at its relaxed geometry.

* total magnetic moment: 0.00 μB per atom
* ΔE_f (raw): -1081 meV per atom
* SG: C2/m, No. 12

Cell and atoms, written as POSCAR:
```
Ac3Pm2N4
1.0
-1.296 1.646 3.117
-0.591 -3.664 -0.573
13.716 -3.371 7.495
N Pm Ac
4 2 3
direct
0.334 0.666 0.892
0.999 0.001 0.293
0.001 0.999 0.707
0.666 0.334 0.108
0.667 0.333 0.812
0.333 0.667 0.188
0.666 0.334 0.376
0.000 0.000 0.000
0.334 0.666 0.624
```


(11)
VASP calculation (PBE) on crystalline AcPmN at its relaxed geometry.

* polymorph energy (0 for the lowest one): 925 meV per atom
* total magnetic moment: 0.00 μB per atom
* ΔE_f (raw): 178 meV per atom
* SG: I4mm, No. 107

Cell and atoms, written as POSCAR:
```
AcPmN
1.0
5.182 0.000 0.000
0.000 5.182 0.000
-2.591 -2.591 4.116
N Ac Pm
1 1 1
direct
0.611 0.611 0.222
0.879 0.879 0.758
0.360 0.360 0.720
```


(12)
VASP calculation (PBE) on crystalline AcPm3N at its relaxed geometry.

* total magnetic moment: 0.00 μB per atom
* ΔE_f (raw): -387 meV per atom
* SG: Pm-3m, No. 221

Cell and atoms, written as POSCAR:
```
AcPm3N
1.0
-3.494 3.832 -0.103
-3.012 -2.830 -3.133
-2.371 -2.051 4.132
Pm Ac N
3 1 1
direct
0.000 0.500 0.000
0.500 0.000 0.000
0.000 0.000 0.500
0.500 0.500 0.500
0.000 0.000 0.000
```